Record 1
Below is Mg3P after structural relaxation, with properties calculated at the PBE level.

Output
Uncorrected energy, eV per atom: -2.70
ΔE_f, eV per atom: -0.15

Cell lengths 4.0802, 3.8823, 5.6315 Å; angles 90.00, 105.71, 90.00 degrees
Closest atoms and distances in Å follow each position.
Space group P2/m (No. 10)
Symmetry-distinct sites (fractional):
Mg 0.0000 0.0000 0.0000 (multiplicity 1)  2 P 2.82, 4 Mg 3.10
Mg 0.3680 0.5000 0.7270 (multiplicity 2)  2 P 2.57
P 0.0000 0.0000 0.5000 (multiplicity 1)  6 Mg 2.57-2.82


Record 2
Below is Zr3Fe2Co7 after structural relaxation, with properties calculated at the PBE level.

Output
Uncorrected energy, eV per atom: -7.95
ΔE_f, eV per atom: -0.25

Cell lengths 4.8693, 4.8693, 23.6466 Å; angles 90.00, 90.00, 120.00 degrees
Closest atoms and distances in Å follow each position.
Space group R-3m (No. 166, hexagonal axes)
Symmetry-distinct sites (fractional):
Zr 0.0000 0.0000 0.0000 (multiplicity 3)  6 Fe 2.81, 12 Co 3.14
Zr 0.0000 0.0000 0.1387 (multiplicity 6)  12 Co 2.76-2.96
Fe 0.0000 0.0000 0.3353 (multiplicity 6)  6 Co 2.41-2.45
Co 0.0000 0.0000 0.5000 (multiplicity 3)  6 Co 2.43
Co 0.0060 0.5030 0.9163 (multiplicity 18)  5 Co 2.39-2.48, 2 Fe 2.41-2.45


Record 3
Below is PrPa2Fe9 after structural relaxation, with properties calculated at the PBE level.

Output
Uncorrected energy, eV per atom: -8.40
ΔE_f, eV per atom: -0.07

Cell lengths 5.0537, 5.0537, 24.6087 Å; angles 90.00, 90.00, 120.00 degrees
Closest atoms and distances in Å follow each position.
Space group R-3m (No. 166, hexagonal axes)
Symmetry-distinct sites (fractional):
Pr 0.0000 0.0000 0.0000 (multiplicity 3)  18 Fe 2.92-3.25
Pa 0.0000 0.0000 0.1425 (multiplicity 6)  12 Fe 2.92-3.02, 3 Pa 3.15
Fe 0.0000 0.0000 0.3332 (multiplicity 6)  6 Fe 2.51-2.52
Fe 0.0000 0.0000 0.5000 (multiplicity 3)  6 Fe 2.52
Fe 0.0008 0.5004 0.9166 (multiplicity 18)  7 Fe 2.51-2.53


Record 4
Below is Al2SbRu after structural relaxation, with properties calculated at the PBE level.

Output
Uncorrected energy, eV per atom: -5.10
E_form (uncorrected), eV per atom: 0.12

Cell lengths 4.0058, 4.0058, 4.2469 Å; angles 90.00, 90.00, 90.00 degrees
Closest atoms and distances in Å follow each position.
Space group P4/mmm (No. 123)
Symmetry-distinct sites (fractional):
Al 0.0000 0.5000 0.0000 (multiplicity 2)  4 Al 2.83, 4 Sb 2.92, 4 Ru 2.92
Sb 0.0000 0.0000 0.5000 (multiplicity 1)  4 Ru 2.83, 8 Al 2.92
Ru 0.5000 0.5000 0.5000 (multiplicity 1)  4 Sb 2.83, 8 Al 2.92


Record 5
Below is Re5C4 after structural relaxation, with properties calculated at the PBE level.

Output
Uncorrected energy, eV per atom: -10.02
ΔE_f, eV per atom: 0.99

Cell lengths 10.1446, 10.1446, 2.6927 Å; angles 90.00, 90.00, 90.00 degrees
Closest atoms and distances in Å follow each position.
Space group I4/mmm (No. 139)
Symmetry-distinct sites (fractional):
Re 0.0000 0.0000 0.0000 (multiplicity 2)  4 C 2.09
Re 0.1669 0.1669 0.5000 (multiplicity 8)  4 C 2.20
C 0.0000 0.2055 0.0000 (multiplicity 8)  5 Re 2.09-2.20


Record 6
Below is CoCu2Os after structural relaxation, with properties calculated at the PBE level.

Output
Uncorrected energy, eV per atom: -6.38
ΔE_f, eV per atom: 0.25

Cell lengths 8.5012, 2.5738, 4.5802 Å; angles 90.00, 98.95, 90.00 degrees
Closest atoms and distances in Å follow each position.
Space group Cm (No. 8)
Symmetry-distinct sites (fractional):
Co 0.0000 0.0000 0.0000 (multiplicity 2)  3 Os 2.47-2.49, 2 Co 2.57, 7 Cu 2.60-2.70
Cu 0.2504 0.0000 0.7034 (multiplicity 2)  5 Cu 2.45-2.57, 4 Os 2.60-2.66, 3 Co 2.67-2.70
Cu 0.4989 0.0000 0.4932 (multiplicity 2)  5 Cu 2.45-2.57, 4 Co 2.60-2.65, 3 Os 2.68-2.70
Os 0.2452 0.5000 0.1939 (multiplicity 2)  3 Co 2.47-2.49, 2 Os 2.57, 7 Cu 2.60-2.70


Record 7
Below is PmLuScSn after structural relaxation, with properties calculated at the PBE level.

Output
Uncorrected energy, eV per atom: -5.10
ΔE_f, eV per atom: -0.20

Cell lengths 7.4673, 7.4673, 7.4673 Å; angles 90.00, 90.00, 90.00 degrees
Closest atoms and distances in Å follow each position.
Space group F-43m (No. 216)
Symmetry-distinct sites (fractional):
Pm 0.0000 0.0000 0.0000 (multiplicity 4)  4 Lu 3.23, 4 Sc 3.23
Lu 0.2500 0.2500 0.2500 (multiplicity 4)  4 Sn 3.23, 4 Pm 3.23
Sc 0.2500 0.2500 0.7500 (multiplicity 4)  4 Sn 3.23, 4 Pm 3.23
Sn 0.0000 0.0000 0.5000 (multiplicity 4)  4 Sc 3.23, 4 Lu 3.23


Record 8
Below is Na6Sn2Ge after structural relaxation, with properties calculated at the PBE level.

Output
Uncorrected energy, eV per atom: -2.40
ΔE_f, eV per atom: -0.12

Cell lengths 5.4376, 5.4376, 30.5819 Å; angles 90.00, 90.00, 120.00 degrees
Closest atoms and distances in Å follow each position.
Space group R-3m (No. 166, hexagonal axes)
Symmetry-distinct sites (fractional):
Na 0.0000 0.0000 0.0764 (multiplicity 6)  3 Sn 3.14, 3 Na 3.48
Na 0.0000 0.0000 0.1976 (multiplicity 6)  3 Ge 3.28, 7 Na 3.32-3.67, 3 Sn 3.59
Na 0.0000 0.0000 0.3060 (multiplicity 6)  4 Sn 3.24-3.51, 7 Na 3.32-3.56
Sn 0.0000 0.0000 0.4121 (multiplicity 6)  1 Ge 2.69
Ge 0.0000 0.0000 0.5000 (multiplicity 3)  2 Sn 2.69